(1)
Material: Er5CoPb2
Method: DFT, PBE-GGA
State: relaxed

```
data_Er5CoPb2
_chemical_formula_sum 'Er10 Co2 Pb4'
_cell_length_a 7.993
_cell_length_b 12.020
_cell_length_c 4.470
_cell_angle_alpha 90.00
_cell_angle_beta 90.00
_cell_angle_gamma 90.00
_space_group_name_H-M_alt 'P b a m'
_space_group_IT_number 55
_space_group_name_Hall '-P 2 2ab'
loop_
_atom_site_label
_atom_site_type_symbol
_atom_site_fract_x
_atom_site_fract_y
_atom_site_fract_z
_atom_site_occupancy
Er1 Er 0.000 0.000 0.000 1
Er2 Er 0.134 0.308 0.000 1
Er3 Er 0.182 0.566 0.500 1
Co1 Co 0.000 0.500 0.000 1
Pb1 Pb 0.073 0.825 0.500 1
```

## Properties
As for the energy above the lowest structure with this stoichiometry: 0 meV/atom. The value obtained for the formation energy is -0.40 eV per atom. For the spin magnetization, the calculation gives 0.00 μB per formula unit.

=====

(2)
Material: TbPaSn2
Method: DFT, PBE-GGA
State: relaxed

```
data_TbPaSn2
_chemical_formula_sum 'Tb3 Pa3 Sn6'
_cell_length_a 3.2902
_cell_length_b 3.2902
_cell_length_c 35.5627
_cell_angle_alpha 90.00
_cell_angle_beta 90.00
_cell_angle_gamma 120.00
_space_group_name_H-M_alt 'R -3 m'
_space_group_IT_number 166
_space_group_name_Hall '-R 3 2"'
loop_
_atom_site_label
_atom_site_type_symbol
_atom_site_fract_x
_atom_site_fract_y
_atom_site_fract_z
_atom_site_occupancy
Tb1 Tb 0.0000 0.0000 0.0000 1
Pa1 Pa 0.0000 0.0000 0.5000 1
Sn1 Sn 0.0000 0.0000 0.4105 1
```

## Properties
As for the energy above the lowest structure with this stoichiometry: 448 meV/atom. The value obtained for the formation energy is 0.05 eV per atom. For the spin magnetization, the calculation gives 0.27 μB per formula unit.

=====

(3)
Material: TbEr2ScRh4
Method: DFT, PBE-GGA
State: relaxed

```
data_TbEr2ScRh4
_chemical_formula_sum 'Tb3 Er6 Sc3 Rh12'
_cell_length_a 4.7558
_cell_length_b 4.7558
_cell_length_c 23.3959
_cell_angle_alpha 90.00
_cell_angle_beta 90.00
_cell_angle_gamma 120.00
_space_group_name_H-M_alt 'R -3 m'
_space_group_IT_number 166
_space_group_name_Hall '-R 3 2"'
loop_
_atom_site_label
_atom_site_type_symbol
_atom_site_fract_x
_atom_site_fract_y
_atom_site_fract_z
_atom_site_occupancy
Tb1 Tb 0.0000 0.0000 0.0000 1
Er1 Er 0.0000 0.0000 0.2477 1
Sc1 Sc 0.0000 0.0000 0.5000 1
Rh1 Rh 0.0000 0.0000 0.1273 1
Rh2 Rh 0.0000 0.0000 0.3781 1
```

## Properties
The value obtained for the formation energy is -0.92 eV per atom. For the spin magnetization, the calculation gives 0.00 μB per formula unit.

=====

(4)
Material: Dy3SnIr2
Method: DFT, PBE-GGA
State: relaxed

```
data_Dy3SnIr2
_chemical_formula_sum 'Dy12 Sn4 Ir8'
_cell_length_a 6.722
_cell_length_b 13.186
_cell_length_c 6.977
_cell_angle_alpha 90.00
_cell_angle_beta 90.00
_cell_angle_gamma 90.00
_space_group_name_H-M_alt 'I b a m'
_space_group_IT_number 72
_space_group_name_Hall '-I 2 2c'
loop_
_atom_site_label
_atom_site_type_symbol
_atom_site_fract_x
_atom_site_fract_y
_atom_site_fract_z
_atom_site_occupancy
Dy1 Dy 0.000 0.000 0.250 1
Dy2 Dy 0.000 0.275 0.250 1
Sn1 Sn 0.000 0.500 0.000 1
Ir1 Ir 0.210 0.136 0.000 1
```

## Properties
The value obtained for the formation energy is -0.67 eV per atom. For the spin magnetization, the calculation gives 0.00 μB per formula unit.